# La2ThSb2Te2 GGA-PBE relaxed
# theoretical density = 5.90 g cm⁻³
# ΔE_f (raw) = -884 meV per atom
# N(E_F) = 0.82 states/eV/f.u.
data_La2ThSb2Te2
_cell_length_a 5.971
_cell_length_b 5.971
_cell_length_c 15.917
_cell_angle_alpha 90.00
_cell_angle_beta 90.00
_cell_angle_gamma 90.00
_symmetry_space_group_name_H-M 'I 4/m m m'
_symmetry_Int_Tables_number 139
_symmetry_space_group_name_Hall '-I 4 2'
loop_
_atom_site_label
_atom_site_fract_x
_atom_site_fract_y
_atom_site_fract_z
La1 0.000 0.000 0.117
Th1 0.000 0.000 0.500
Sb1 0.000 0.500 0.000
Te1 0.000 0.000 0.307